PBEsol Y2P2W, relaxed; total moment = 0.00 μB per cell; E_form = -0.91 eV per atom
1.0
-1.7485 1.9622 3.1013
-5.7750 -2.9610 -1.3825
1.5916 -5.0003 4.0611
P Y W
4 4 2
direct
0.0000 0.1364 0.3636 P
0.0000 0.3636 0.8636 P
0.0000 0.6364 0.1364 P
0.0000 0.8636 0.6364 P
0.5000 0.8268 0.3268 Y
0.5000 0.6732 0.8268 Y
0.5000 0.1732 0.6732 Y
0.5000 0.3268 0.1732 Y
0.0000 0.0000 0.0000 W
0.0000 0.5000 0.5000 W

PBEsol Na2CoO3, relaxed; total moment = 2.02 μB per cell; distance to the lowest polymorph of the same formula = 0 meV/atom
1.0
5.1316 -0.0105 0.0051
-2.5623 4.4461 0.0051
-0.8953 -1.5456 5.2727
Na O Co
4 6 2
direct
0.8428 0.1572 0.5000 Na
0.1572 0.8428 0.5000 Na
0.5000 0.5000 0.5000 Na
0.0000 0.0000 0.0000 Na
0.6868 0.6868 0.1961 O
0.0671 0.4493 0.1950 O
0.3132 0.3132 0.8039 O
0.9329 0.5507 0.8050 O
0.5507 0.9329 0.8050 O
0.4493 0.0671 0.1950 O
0.6672 0.3328 0.0000 Co
0.3328 0.6672 0.0000 Co

PBEsol Hf2TcHgIr, relaxed; total moment = 1.49 μB per cell; E_form = 1.96 eV per atom
1.0
-1.9435 -4.1556 -1.3623
4.5036 -1.6544 -1.3783
0.7259 -1.8418 4.5825
Hf Ir Tc Hg
2 1 1 1
direct
0.0000 0.0000 0.5000 Hf
0.0000 0.5000 0.0000 Hf
0.5000 0.0000 0.0000 Ir
0.5000 0.5000 0.5000 Tc
0.0000 0.0000 0.0000 Hg

For each record above, in turn, the calculated total DFT energy (no corrections) values are -43.58 -34.02 -32.86 eV per formula unit.
For each record above, in turn, the calculated N(E_F) values are 4.84 4.21 6.69 states/eV per cell.